Na2Sc2MoO6 | PBE+U | relaxed

a b c (Å): 5.4589 5.4589 5.8821
angles (deg): 99.42 99.42 119.09
Last column: nearest neighbours and their distance in Å.
Fractional coordinates of all 11 atoms:
O: 0.9411 0.6114 0.3078  1 Mo 2.08, 2 Sc 2.13-2.18
Na: 0.1664 0.8336 0.0000  6 O 2.46-2.52
O: 0.7375 0.7375 0.6978  2 Sc 2.11, 1 Mo 2.13
O: 0.3886 0.0589 0.6922  1 Mo 2.08, 2 Sc 2.13-2.18
Sc: 0.3374 0.6626 0.5000  6 O 2.11-2.18
Mo: 0.0000 0.0000 0.5000  6 O 2.08-2.13
O: 0.0589 0.3886 0.6922  1 Mo 2.08, 2 Sc 2.13-2.18
O: 0.2625 0.2625 0.3022  2 Sc 2.11, 1 Mo 2.13
O: 0.6114 0.9411 0.3078  1 Mo 2.08, 2 Sc 2.13-2.18
Sc: 0.6626 0.3374 0.5000  6 O 2.11-2.18
Na: 0.8336 0.1664 0.0000  6 O 2.46-2.52

Results
SG = C2/m, No. 12
Magnetic moment = 2.00 μB per formula unit
D(E_F) = 0.00 states/eV per cell
Final energy = -7.268 eV/atom